Below is a geometry-optimized Ti2MoPbF structure, with properties calculated at the PBE+U level.

The space group is P4/mmm (No. 123) and the conventional cell measures 5.013, 5.013 and 5.493 Å, with angles of 90.00, 90.00 and 90.00 degrees. The asymmetric unit holds Ti at (0.000, 0.500, 0.000), Mo at (0.000, 0.000, 0.000), Pb at (0.000, 0.000, 0.500) and F at (0.500, 0.500, 0.500).

Its total moment is 1.3 Bohr magnetons per cell. The value obtained for the total energy is -4.91 eV per atom. The theoretical density comes out at 5.027 g/cm³.